Entry from Alexandria via LeMat-Bulk: an optimized crystal structure of CdCuAg2 (PBE).

Summary:
energy of formation = 65 meV per atom
total magnetization = 0.000 μB per atom
space-group type = R-3m (166)

Lattice parameters (Å, degrees): 9.3849 9.3849 9.3849 18.15 18.15 18.15
Fractional coordinates of all 4 atoms:
Ag  0.0076  0.0076  0.0076
Ag  0.4924  0.4924  0.4924
Cd  0.2500  0.2500  0.2500
Cu  0.7500  0.7500  0.7500